(1)
MgCdRu2 | PBE | relaxed

## Properties
- Theoretical density: 8.02 g cm⁻³
- Magnetic moment: 0.001 μB/cell
- Formation enthalpy at 0 K: 2.9 eV/f.u.

```
data_MgCdRu2
_chemical_formula_sum 'Mg2 Cd2 Ru4'
_symmetry_space_group_name_H-M 'P 1'
_symmetry_Int_Tables_number 1
_cell_length_a 5.804
_cell_length_b 5.804
_cell_length_c 5.804
_cell_angle_alpha 101.68
_cell_angle_beta 101.68
_cell_angle_gamma 126.51
loop_
_symmetry_equiv_pos_as_xyz
'x,y,z'
loop_
_atom_site_label
_atom_site_fract_x
_atom_site_fract_y
_atom_site_fract_z
Mg1 0.000 0.000 0.000
Mg2 0.750 0.250 0.500
Cd1 0.250 0.750 0.500
Cd2 0.500 0.500 0.000
Ru1 0.117 0.625 0.992
Ru2 0.375 0.367 0.492
Ru3 0.633 0.125 0.008
Ru4 0.875 0.883 0.508
```



(2)
MgCdRu2 | PBE | relaxed

## Properties
- Theoretical density: 8.70 g cm⁻³
- Magnetic moment: 1.084 μB/cell
- Formation enthalpy at 0 K: 1.1 eV/f.u.

```
data_MgCdRu2
_chemical_formula_sum 'Mg1 Cd1 Ru2'
_symmetry_space_group_name_H-M 'P 1'
_symmetry_Int_Tables_number 1
_cell_length_a 3.055
_cell_length_b 4.583
_cell_length_c 4.618
_cell_angle_alpha 90.00
_cell_angle_beta 90.00
_cell_angle_gamma 90.00
loop_
_symmetry_equiv_pos_as_xyz
'x,y,z'
loop_
_atom_site_label
_atom_site_fract_x
_atom_site_fract_y
_atom_site_fract_z
Mg1 0.000 0.000 0.000
Cd1 0.500 0.000 0.500
Ru1 0.000 0.500 0.500
Ru2 0.500 0.500 0.000
```



(3)
MgCdRu4 | PBE | relaxed

## Properties
- Theoretical density: 9.08 g cm⁻³
- Magnetic moment: 2.441 μB/cell
- Formation enthalpy at 0 K: 1.9 eV/f.u.

```
data_MgCdRu4
_chemical_formula_sum 'Mg1 Cd1 Ru4'
_symmetry_space_group_name_H-M 'P 1'
_symmetry_Int_Tables_number 1
_cell_length_a 5.191
_cell_length_b 5.191
_cell_length_c 5.191
_cell_angle_alpha 60.00
_cell_angle_beta 60.00
_cell_angle_gamma 60.00
loop_
_symmetry_equiv_pos_as_xyz
'x,y,z'
loop_
_atom_site_label
_atom_site_fract_x
_atom_site_fract_y
_atom_site_fract_z
Mg1 0.000 0.000 0.000
Cd1 0.250 0.250 0.250
Ru1 0.125 0.625 0.625
Ru2 0.625 0.125 0.625
Ru3 0.625 0.625 0.125
Ru4 0.625 0.625 0.625
```



(4)
Mg2CdRu | PBE | relaxed

## Properties
- Theoretical density: 6.24 g cm⁻³
- Magnetic moment: 0.000 μB/cell
- Formation enthalpy at 0 K: 0.0 eV/f.u.

```
data_Mg2CdRu
_chemical_formula_sum 'Mg2 Cd1 Ru1'
_symmetry_space_group_name_H-M 'P 1'
_symmetry_Int_Tables_number 1
_cell_length_a 4.394
_cell_length_b 4.394
_cell_length_c 3.610
_cell_angle_alpha 90.00
_cell_angle_beta 90.00
_cell_angle_gamma 90.00
loop_
_symmetry_equiv_pos_as_xyz
'x,y,z'
loop_
_atom_site_label
_atom_site_fract_x
_atom_site_fract_y
_atom_site_fract_z
Mg1 0.000 0.500 0.000
Mg2 0.500 0.000 0.000
Cd1 0.000 0.000 0.500
Ru1 0.500 0.500 0.500
```



(5)
MgCd2Ru | PBE | relaxed

## Properties
- Theoretical density: 8.05 g cm⁻³
- Magnetic moment: 0.000 μB/cell
- Formation enthalpy at 0 K: 0.6 eV/f.u.

```
data_MgCd2Ru
_chemical_formula_sum 'Mg1 Cd2 Ru1'
_symmetry_space_group_name_H-M 'P 1'
_symmetry_Int_Tables_number 1
_cell_length_a 4.676
_cell_length_b 4.676
_cell_length_c 4.676
_cell_angle_alpha 60.00
_cell_angle_beta 60.00
_cell_angle_gamma 60.00
loop_
_symmetry_equiv_pos_as_xyz
'x,y,z'
loop_
_atom_site_label
_atom_site_fract_x
_atom_site_fract_y
_atom_site_fract_z
Mg1 0.000 0.000 0.000
Cd1 0.500 0.500 0.500
Cd2 0.750 0.750 0.750
Ru1 0.250 0.250 0.250
```



(6)
MgCdRu2 | PBE | relaxed

## Properties
- Theoretical density: 8.65 g cm⁻³
- Magnetic moment: 0.000 μB/cell
- Formation enthalpy at 0 K: 0.8 eV/f.u.

```
data_MgCdRu2
_chemical_formula_sum 'Mg1 Cd1 Ru2'
_symmetry_space_group_name_H-M 'P 1'
_symmetry_Int_Tables_number 1
_cell_length_a 4.830
_cell_length_b 4.830
_cell_length_c 4.960
_cell_angle_alpha 99.22
_cell_angle_beta 99.22
_cell_angle_gamma 34.79
loop_
_symmetry_equiv_pos_as_xyz
'x,y,z'
loop_
_atom_site_label
_atom_site_fract_x
_atom_site_fract_y
_atom_site_fract_z
Mg1 0.000 0.000 0.000
Cd1 0.761 0.761 0.241
Ru1 0.246 0.246 0.723
Ru2 0.515 0.515 0.536
```



Please write out number 2 again, unchanged.
MgCdRu2 | PBE | relaxed

## Properties
- Theoretical density: 8.70 g cm⁻³
- Magnetic moment: 1.084 μB/cell
- Formation enthalpy at 0 K: 1.1 eV/f.u.

```
data_MgCdRu2
_chemical_formula_sum 'Mg1 Cd1 Ru2'
_symmetry_space_group_name_H-M 'P 1'
_symmetry_Int_Tables_number 1
_cell_length_a 3.055
_cell_length_b 4.583
_cell_length_c 4.618
_cell_angle_alpha 90.00
_cell_angle_beta 90.00
_cell_angle_gamma 90.00
loop_
_symmetry_equiv_pos_as_xyz
'x,y,z'
loop_
_atom_site_label
_atom_site_fract_x
_atom_site_fract_y
_atom_site_fract_z
Mg1 0.000 0.000 0.000
Cd1 0.500 0.000 0.500
Ru1 0.000 0.500 0.500
Ru2 0.500 0.500 0.000
```



Q: Among the records above, which one has the lowest theoretical density?
A: Mg2CdRu